Record 1
NiP2SO | GGA-PBEsol | relaxed

a = 4.469 Å, b = 4.469 Å, c = 3.454 Å
α = 90.00°, β = 90.00°, γ = 90.00°
Space group P4/mmm (No. 123)
One atom of each set of equivalent atoms:
Ni1 0.000 0.000 0.000 (multiplicity 1)
P1 0.000 0.500 0.000 (multiplicity 2)
S1 0.500 0.500 0.500 (multiplicity 1)
O1 0.000 0.000 0.500 (multiplicity 1)

Computed properties:
Formation energy without anion corrections   0.30 eV per atom
DFT total energy   -0.1903 hartree per atom
Volume   69 Å³ per cell



Record 2
NiSbP2O9 | GGA-PBEsol | relaxed

a = 13.618 Å, b = 6.302 Å, c = 7.735 Å
α = 90.00°, β = 90.00°, γ = 90.00°
Space group Pnma (No. 62)
One atom of each set of equivalent atoms:
Ni1 0.000 0.000 0.000 (multiplicity 4)
Sb1 0.123 0.250 0.336 (multiplicity 4)
P1 0.056 0.750 0.344 (multiplicity 4)
P2 0.188 0.750 0.928 (multiplicity 4)
O1 0.005 0.250 0.824 (multiplicity 4)
O2 0.007 0.250 0.494 (multiplicity 4)
O3 0.031 0.250 0.141 (multiplicity 4)
O4 0.128 0.561 0.347 (multiplicity 8)
O5 0.131 0.544 0.960 (multiplicity 8)
O6 0.214 0.250 0.540 (multiplicity 4)
O7 0.239 0.750 0.742 (multiplicity 4)

Computed properties:
Formation energy without anion corrections   -1.62 eV per atom
DFT total energy   -0.2562 hartree per atom
Volume   664 Å³ per cell



Record 3
Ni3SbP4O16 | GGA-PBEsol | relaxed

a = 4.722 Å, b = 5.670 Å, c = 9.692 Å
α = 90.00°, β = 90.06°, γ = 90.00°
Space group Pm (No. 6)
One atom of each set of equivalent atoms:
Ni1 0.000 0.000 0.000 (multiplicity 1)
Ni2 0.131 0.500 0.541 (multiplicity 1)
Ni3 0.508 0.500 0.031 (multiplicity 1)
Sb1 0.621 0.000 0.483 (multiplicity 1)
P1 0.192 0.000 0.682 (multiplicity 1)
P2 0.445 0.000 0.167 (multiplicity 1)
P3 0.671 0.500 0.341 (multiplicity 1)
P4 0.951 0.500 0.858 (multiplicity 1)
O1 0.239 0.000 0.832 (multiplicity 1)
O2 0.274 0.500 0.875 (multiplicity 1)
O3 0.294 0.214 0.098 (multiplicity 2)
O4 0.350 0.207 0.599 (multiplicity 2)
O5 0.357 0.000 0.327 (multiplicity 1)
O6 0.361 0.500 0.374 (multiplicity 1)
O7 0.750 0.500 0.192 (multiplicity 1)
O8 0.764 0.000 0.166 (multiplicity 1)
O9 0.794 0.288 0.931 (multiplicity 2)
O10 0.833 0.289 0.423 (multiplicity 2)
O11 0.873 0.000 0.645 (multiplicity 1)
O12 0.894 0.500 0.702 (multiplicity 1)

Computed properties:
Formation energy without anion corrections   -1.58 eV per atom
DFT total energy   -0.2576 hartree per atom
Volume   259 Å³ per cell



Record 4
TiNi3Sb2P6O24 | GGA-PBEsol | relaxed

a = 8.3811 Å, b = 8.3811 Å, c = 21.6810 Å
α = 90.00°, β = 90.00°, γ = 120.00°
Space group R3 (No. 146, hexagonal axes)
One atom of each set of equivalent atoms:
Ti1 0.0000 0.0000 0.0000 (multiplicity 3)
Ni1 0.0000 0.0000 0.2137 (multiplicity 3)
Ni2 0.0000 0.0000 0.5063 (multiplicity 3)
Ni3 0.0000 0.0000 0.7049 (multiplicity 3)
Sb1 0.0000 0.0000 0.3645 (multiplicity 3)
Sb2 0.0000 0.0000 0.8436 (multiplicity 3)
P1 0.0445 0.6715 0.2723 (multiplicity 9)
P2 0.0532 0.3824 0.7760 (multiplicity 9)
O1 0.0270 0.8322 0.9449 (multiplicity 9)
O2 0.0479 0.8227 0.5477 (multiplicity 9)
O3 0.0643 0.8689 0.2713 (multiplicity 9)
O4 0.1413 0.6839 0.3331 (multiplicity 9)
O5 0.1584 0.4686 0.7167 (multiplicity 9)
O6 0.1618 0.4880 0.4415 (multiplicity 9)
O7 0.1637 0.4527 0.8353 (multiplicity 9)
O8 0.1879 0.4610 0.1058 (multiplicity 9)

Computed properties:
Formation energy without anion corrections   -1.81 eV per atom
DFT total energy   -0.2674 hartree per atom
Volume   1319 Å³ per cell



Record 5
NiP2SeO | GGA-PBEsol | relaxed

a = 4.534 Å, b = 4.534 Å, c = 3.473 Å
α = 90.00°, β = 90.00°, γ = 90.00°
Space group P4/mmm (No. 123)
One atom of each set of equivalent atoms:
Ni1 0.000 0.000 0.000 (multiplicity 1)
P1 0.000 0.500 0.000 (multiplicity 2)
Se1 0.500 0.500 0.500 (multiplicity 1)
O1 0.000 0.000 0.500 (multiplicity 1)

Computed properties:
Formation energy without anion corrections   0.19 eV per atom
DFT total energy   -0.1903 hartree per atom
Volume   71 Å³ per cell



Record 6
SiNiPO2 | GGA-PBEsol | relaxed

a = 3.271 Å, b = 3.271 Å, c = 5.854 Å
α = 90.00°, β = 90.00°, γ = 90.00°
Space group P4/mmm (No. 123)
One atom of each set of equivalent atoms:
Si1 0.000 0.000 0.000 (multiplicity 1)
Ni1 0.500 0.500 0.500 (multiplicity 1)
P1 0.000 0.000 0.500 (multiplicity 1)
O1 0.000 0.500 0.000 (multiplicity 2)

Computed properties:
Formation energy without anion corrections   -0.87 eV per atom
DFT total energy   -0.2392 hartree per atom
Volume   63 Å³ per cell